No. 1
The following is a DFT calculation (PBE-GGA) of NaMgCdSb after structural relaxation.

The structure in CIF format:
```
data_NaMgCdSb
_cell_length_a 7.3385
_cell_length_b 7.3385
_cell_length_c 7.3385
_cell_angle_alpha 90.00
_cell_angle_beta 90.00
_cell_angle_gamma 90.00
_symmetry_space_group_name_H-M 'F -4 3 m'
_symmetry_Int_Tables_number 216
_symmetry_space_group_name_Hall 'F -4 2 3'
loop_
_atom_site_label
_atom_site_fract_x
_atom_site_fract_y
_atom_site_fract_z
_atom_site_occupancy
Na1 0.0000 0.0000 0.0000 1
Mg1 0.0000 0.0000 0.5000 1
Cd1 0.2500 0.2500 0.7500 1
Sb1 0.2500 0.2500 0.2500 1
```

Calculated values
ΔE_f (raw) ... -20.9 kJ/mol of atoms
DFT total energy ... -35.3 eV/cell
M_tot ... 0.00 Bohr magnetons per cell

***

No. 2
The following is a DFT calculation (PBE-GGA) of NaSmMgCd after structural relaxation.

The structure in CIF format:
```
data_NaSmMgCd
_cell_length_a 7.3967
_cell_length_b 7.3967
_cell_length_c 7.3967
_cell_angle_alpha 90.00
_cell_angle_beta 90.00
_cell_angle_gamma 90.00
_symmetry_space_group_name_H-M 'F -4 3 m'
_symmetry_Int_Tables_number 216
_symmetry_space_group_name_Hall 'F -4 2 3'
loop_
_atom_site_label
_atom_site_fract_x
_atom_site_fract_y
_atom_site_fract_z
_atom_site_occupancy
Na1 0.0000 0.0000 0.0000 1
Sm1 0.2500 0.2500 0.2500 1
Mg1 0.2500 0.2500 0.7500 1
Cd1 0.0000 0.0000 0.5000 1
```

Calculated values
Fermi-level density of states ... 10.83 states/eV per cell
DFT total energy ... -35.4 eV/cell
M_tot ... 0.00 Bohr magnetons per cell
Formation energy ... -0.0779 eV/atom

***

No. 3
The following is a DFT calculation (PBE-GGA) of NaMgCdSn after structural relaxation.

The structure in CIF format:
```
data_NaMgCdSn
_cell_length_a 8.5413
_cell_length_b 4.9271
_cell_length_c 6.2275
_cell_angle_alpha 90.00
_cell_angle_beta 90.11
_cell_angle_gamma 90.00
_symmetry_space_group_name_H-M 'C 1 m 1'
_symmetry_Int_Tables_number 8
loop_
_symmetry_equiv_pos_as_xyz
'x,y,z'
'x,-y,z'
'x+1/2,y+1/2,z'
'x+1/2,-y+1/2,z'
loop_
_atom_site_label
_atom_site_fract_x
_atom_site_fract_y
_atom_site_fract_z
_atom_site_occupancy
Na1 0.0000 0.0000 0.0000 1
Mg1 0.1675 0.5000 0.5787 1
Cd1 0.3335 0.0000 0.3243 1
Sn1 0.0005 0.0000 0.5030 1
```

Calculated values
Fermi-level density of states ... 4.16 states/eV per cell
DFT total energy ... -15.5 eV/cell
Energy above the lowest structure with this stoichiometry ... 0.543 eV per formula unit
M_tot ... 0.00 Bohr magnetons per cell
Formation energy ... 0.0247 eV/atom

***

No. 4
The following is a DFT calculation (PBE-GGA) of NaMgCdSn after structural relaxation.

The structure in CIF format:
```
data_NaMgCdSn
_cell_length_a 7.2530
_cell_length_b 7.2530
_cell_length_c 7.2530
_cell_angle_alpha 90.00
_cell_angle_beta 90.00
_cell_angle_gamma 90.00
_symmetry_space_group_name_H-M 'F -4 3 m'
_symmetry_Int_Tables_number 216
_symmetry_space_group_name_Hall 'F -4 2 3'
loop_
_atom_site_label
_atom_site_fract_x
_atom_site_fract_y
_atom_site_fract_z
_atom_site_occupancy
Na1 0.0000 0.0000 0.0000 1
Mg1 0.0000 0.0000 0.5000 1
Cd1 0.2500 0.2500 0.7500 1
Sn1 0.2500 0.2500 0.2500 1
```

Calculated values
Fermi-level density of states ... 6.47 states/eV per cell
DFT total energy ... -33.1 eV/cell
Energy above the lowest structure with this stoichiometry ... 0.000 eV per formula unit
M_tot ... 0.00 Bohr magnetons per cell
Formation energy ... -0.1110 eV/atom